No. 1
VASP calculation (PBE) on a relaxed Mo2RhW crystal.

Cell: 2.7283 2.7283 8.6594 Å, 90.00 90.00 105.31°
Closest atoms and distances in Å follow each position.
Sites, in units of the cell vectors:
Mo1 0.0000 0.0000 0.0081  2 Rh 2.67, 4 Mo 2.73, 2 W 2.78
Mo2 0.0000 0.0000 0.4919  2 Rh 2.67, 4 Mo 2.73, 2 W 2.78
Rh1 0.5000 0.5000 0.2500  4 Mo 2.67, 4 Rh 2.73
W1 0.5000 0.5000 0.7500  4 W 2.73, 4 Mo 2.78

E above lowest polymorph   0.00 kJ per mole of atoms
Formation energy   0.010 eV per atom

No. 2
VASP calculation (PBE) on a relaxed HfNb2Ge4 crystal.

Cell: 4.9843 4.9843 7.4779 Å, 70.53 70.53 90.00°
Closest atoms and distances in Å follow each position.
Sites, in units of the cell vectors:
Nb1 0.4039 0.4039 0.1923  1 Nb 2.54, 5 Ge 2.65-2.80
Nb2 0.5961 0.5961 0.8077  1 Nb 2.54, 5 Ge 2.65-2.80
Hf1 0.0000 0.0000 0.0000  6 Ge 2.49-2.68
Ge1 0.2028 0.2028 0.5943  1 Nb 2.65, 1 Hf 2.68
Ge2 0.7972 0.7972 0.4057  1 Nb 2.65, 1 Hf 2.68
Ge3 0.0000 0.5000 0.0000  2 Hf 2.49
Ge4 0.5000 0.0000 0.0000  2 Hf 2.49

Formation energy   0.445 eV per atom

No. 3
VASP calculation (PBE) on a relaxed SeSO2 crystal.

Cell: 6.1174 6.1174 6.1397 Å, 60.12 60.12 90.00°
Closest atoms and distances in Å follow each position.
Sites, in units of the cell vectors:
S1 0.5000 0.5000 0.0000  12 O 3.59-3.61, 4 S 3.76, 4 Se 3.76
S2 0.2500 0.7500 0.5000  12 O 3.59-3.61, 4 Se 3.76, 4 S 3.76
O1 0.8750 0.1250 0.2500  2 Se 1.88
O2 0.8750 0.6250 0.2500  2 Se 1.88
O3 0.3750 0.1250 0.7500  2 Se 1.88
O4 0.8750 0.1250 0.7500  2 Se 1.88
Se1 0.0000 0.0000 0.0000  4 O 1.88
Se2 0.7500 0.2500 0.5000  4 O 1.88

E above lowest polymorph   33.42 kJ per mole of atoms
Raw formation energy   501 meV per atom